(1)
Below is a relaxed structure of InAu2Se, with properties calculated at the PBE level.

Output
Total energy (eV per atom): -3.26
Polymorph energy (0 for the lowest one) (meV/atom): 41.4
E_form (uncorrected) (meV/atom): -62
Magnetic moment (μB per formula unit): 0.0

```
4
Lattice="6.278 -1.894 0.000 6.278 1.894 0.000 -0.044 0.000 3.824" Properties=species:S:1:pos:R:3 pbc="T T T"
In 0.000 0.000 0.000
Au 5.500 0.000 1.904
Au 9.246 0.000 1.930
Se 2.759 0.000 0.015
```

(2)
Below is a relaxed structure of La4NiIr, with properties calculated at the PBE level.

Output
Total energy (eV per atom): -6.13
Polymorph energy (0 for the lowest one) (meV/atom): 0.0
Magnetic moment (μB per formula unit): 0.0

```
6
Lattice="6.116 -2.156 0.000 6.116 2.156 0.000 -1.597 0.000 7.173" Properties=species:S:1:pos:R:3 pbc="T T T"
La 0.880 0.000 2.718
La 4.411 0.000 0.882
La 6.223 0.000 6.291
La 9.754 0.000 4.455
Ni 5.317 0.000 3.586
Ir 0.000 0.000 0.000
```

(3)
Below is a relaxed structure of SrPaN2F, with properties calculated at the PBE level.

Output
Total energy (eV per atom): -7.72
E_form (uncorrected) (meV/atom): -1783
Magnetic moment (μB per formula unit): 0.0

```
10
Lattice="1.676 -6.226 0.000 1.676 6.226 0.000 0.000 0.000 7.558" Properties=species:S:1:pos:R:3 pbc="T T T"
Sr 0.000 0.000 0.000
Sr 0.000 0.000 3.779
Pa 1.676 3.335 5.669
Pa 1.676 -3.335 1.890
N 1.676 2.003 0.572
N 1.676 2.003 3.207
N 1.676 -2.003 4.351
N 1.676 -2.003 6.987
F 1.676 4.803 1.890
F 1.676 -4.803 5.669
```

(4)
Below is a relaxed structure of TbPmErCd, with properties calculated at the PBE level.

Output
Total energy (eV per atom): -3.75
Polymorph energy (0 for the lowest one) (meV/atom): 113.6
Magnetic moment (μB per formula unit): 0.0

```
4
Lattice="0.000 3.875 3.875 3.875 0.000 3.875 3.875 3.875 0.000" Properties=species:S:1:pos:R:3 pbc="T T T"
Tb 0.000 0.000 0.000
Pm 3.875 3.875 3.875
Er 5.812 5.812 5.812
Cd 1.937 1.937 1.937
```

(5)
Below is a relaxed structure of KZn3Ru, with properties calculated at the PBE level.

Output
Total energy (eV per atom): -2.71
Polymorph energy (0 for the lowest one) (meV/atom): 0.0
Magnetic moment (μB per formula unit): 0.0

```
5
Lattice="4.909 0.000 0.000 0.000 4.909 0.000 0.000 0.000 4.909" Properties=species:S:1:pos:R:3 pbc="T T T"
K 0.000 0.000 0.000
Zn 0.000 2.454 2.454
Zn 2.454 0.000 2.454
Zn 2.454 2.454 0.000
Ru 2.454 2.454 2.454
```

(6)
Below is a relaxed structure of NpSnS, with properties calculated at the PBE level.

Output
Total energy (eV per atom): -7.65
E_form (uncorrected) (meV/atom): -624
Magnetic moment (μB per formula unit): 3.8

```
6
Lattice="1.870 -8.310 0.000 1.870 8.310 0.000 0.000 0.000 4.282" Properties=species:S:1:pos:R:3 pbc="T T T"
Np 1.870 6.894 3.212
Np 1.870 -6.894 1.071
Sn 1.870 4.344 1.071
Sn 1.870 -4.344 3.212
S 1.870 1.057 3.212
S 1.870 -1.057 1.071
```